No. 1
{"formula": "Be2CdCo2", "functional": "PBE", "state": "optimized geometry", "formation_enthalpy_0k_ev_per_atom": 0.131, "crystal_system": "tetragonal", "polymorph_energy_mev_per_atom": 130, "dos_at_fermi_per_ev_atom": 1.111, "lattice": [[6.6517, 0.0000, 0.0000], [0.0000, 6.6517, 0.0000], [0.0000, 0.0000, 2.5920]], "species": ["Be", "Be", "Be", "Be", "Cd", "Cd", "Co", "Co", "Co", "Co"], "fractional_positions": [[0.1648, 0.3352, 0.0000], [0.3352, 0.8352, 0.0000], [0.6648, 0.1648, 0.0000], [0.8352, 0.6648, 0.0000], [0.0000, 0.0000, 0.5000], [0.5000, 0.5000, 0.5000], [0.1239, 0.6239, 0.5000], [0.3761, 0.1239, 0.5000], [0.6239, 0.8761, 0.5000], [0.8761, 0.3761, 0.5000]]}

No. 2
{"formula": "Be2CdCo", "functional": "PBE", "state": "optimized geometry", "formation_enthalpy_0k_ev_per_atom": 0.156, "crystal_system": "orthorhombic", "dos_at_fermi_per_ev_atom": 0.304, "lattice": [[3.5971, 0.0000, 0.0000], [0.0000, 1.3324, 4.9435], [0.0000, -1.3324, 4.9435]], "species": ["Be", "Be", "Cd", "Co"], "fractional_positions": [[0.0000, 0.0000, 0.0000], [0.5000, 0.1157, 0.1157], [0.0000, 0.7525, 0.7525], [0.5000, 0.4374, 0.4374]]}